This record from Alexandria describes a crystal of Zn2CdTe relaxed with PBEsol. The functional is meta-GGA SCAN.

Lattice parameters (Å, degrees): 3.8830 3.8830 5.7660 90.00 90.00 90.00
With the nearest neighbours (Å) after each atom.
Atoms (fractional coordinates):
Cd (0.0000, 0.0000, 0.3838)  6 Zn 2.75-2.91
Te (0.5000, 0.5000, 0.8673)  6 Zn 2.75-2.92
Zn (0.0000, 0.0000, 0.8878)  4 Te 2.75, 2 Cd 2.86-2.91
Zn (0.5000, 0.5000, 0.3611)  4 Cd 2.75, 2 Te 2.85-2.92

Results
Space group: P4mm
Crystal system: tetragonal

This record from Alexandria describes a crystal of CaSi3Cl relaxed with PBEsol. The functional is meta-GGA SCAN.

Lattice parameters (Å, degrees): 5.4019 5.4019 5.4019 90.00 90.00 90.00
With the nearest neighbours (Å) after each atom.
Atoms (fractional coordinates):
Ca (0.0000, 0.0000, 0.0000)  6 Si 2.70
Si (0.0000, 0.5000, 0.0000)  2 Ca 2.70
Si (0.0000, 0.0000, 0.5000)  2 Ca 2.70
Si (0.5000, 0.0000, 0.0000)  2 Ca 2.70
Cl (0.5000, 0.5000, 0.5000)  12 Si 3.82

Results
Space group: Pm-3m
Crystal system: cubic

So what do the calculations give for final energy? Going down the list: -94.26, -39.86 eV/f.u..
So what do the calculations give for ΔE_f (raw)? Going down the list: 0.11, 1.57 eV/atom.